{"formula": "HfCr2AsO", "functional": "PBE with a Hubbard U", "state": "relaxed", "energy_ev_per_atom": -5.46, "magnetic_moment_mub_per_fu": 8.19, "n_ef_per_ev_atom": 1.57, "lattice_angstrom": [[5.582, 0.000, 0.000], [0.000, 5.582, 0.000], [0.000, 0.000, 4.969]], "species": ["Hf", "Cr", "Cr", "As", "O"], "fractional_positions": [[0.000, 0.000, 0.000], [0.000, 0.500, 0.000], [0.500, 0.000, 0.000], [0.000, 0.000, 0.500], [0.500, 0.500, 0.500]]}